(1)
! TmAlZn6Ag | Alexandria via LeMat-Bulk | PBE-GGA | relaxed; values from VASP
&SYSTEM
  ibrav = 0, nat = 18, ntyp = 4
/
ATOMIC_SPECIES
Tm 168.93 Tm.upf
Al 26.98 Al.upf
Zn 65.41 Zn.upf
Ag 107.87 Ag.upf
ATOMIC_POSITIONS angstrom
Tm -5.571 -1.338 -0.303
Tm -2.861 -1.142 1.609
Al -2.222 -5.159 0.021
Al -0.895 -0.978 -2.287
Zn -5.830 0.139 2.223
Zn -5.829 3.528 -2.283
Zn -3.252 -0.527 -3.105
Zn -3.742 -3.938 1.640
Zn -2.345 0.463 -0.789
Zn -4.648 -4.929 -0.676
Zn -2.601 -2.619 -0.918
Zn -2.603 -6.008 3.588
Zn -5.180 -1.953 4.410
Zn -4.690 1.458 -0.335
Zn -6.087 -2.943 2.094
Zn -3.783 2.449 1.981
Ag -2.889 2.941 -1.655
Ag -1.993 3.919 0.632
CELL_PARAMETERS angstrom
-1.791 -1.956 -4.574
-2.654 -8.363 4.615
-3.987 7.839 1.264
! Energy relative to the elements, kJ per mole of atoms: 16.4
! ρ, g/cm3: 6.41
! V, Å³/f.u.: 180.4

---

(2)
! BaAcInSn | Alexandria via LeMat-Bulk | PBE-GGA | relaxed; values from VASP
&SYSTEM
  ibrav = 0, nat = 4, ntyp = 4
/
ATOMIC_SPECIES
Ba 137.33 Ba.upf
Ac 227.00 Ac.upf
In 114.82 In.upf
Sn 118.71 Sn.upf
ATOMIC_POSITIONS angstrom
Ba 0.000 0.000 1.760
Ac 2.574 2.367 4.612
In 0.000 0.000 5.319
Sn 2.574 2.367 0.893
CELL_PARAMETERS angstrom
5.148 0.000 0.000
0.000 4.734 0.000
-2.574 0.000 6.292
! Energy relative to the elements, kJ per mole of atoms: -53.5
! ρ, g/cm3: 6.48
! Energy above the lowest structure with this stoichiometry, meV/atom: 0.0
! V, Å³/f.u.: 153.3

---

Question: ρ of number 2 (BaAcInSn)?
Answer: 6.48 g/cm3

---

Question: Among the records above, which one has the lowest energy relative to the elements?
Answer: BaAcInSn

---

Question: What is the V in the first record?
Answer: 180.4 Å³/f.u.